Here is a relaxed Nd7SiI12 crystal from Alexandria. Energies are from PBE.

Properties
Total magnetization = 0.00 μB/cell
Electronic total energy = -4.18 eV per atom
Symmetry = R-3
Crystal system = trigonal

abc: 9.9809 9.9809 9.9809
angles: 107.77 107.77 107.77
Atoms (fractional coordinates):
1 Nd 0.0000 0.0000 0.0000
2 Nd 0.1881 0.3969 0.4678
3 Nd 0.3969 0.4678 0.1881
4 Nd 0.4678 0.1881 0.3969
5 Nd 0.5322 0.8119 0.6031
6 Nd 0.6031 0.5322 0.8119
7 Nd 0.8119 0.6031 0.5322
8 Si 0.5000 0.5000 0.5000
9 I 0.0306 0.3455 0.1109
10 I 0.1109 0.0306 0.3455
11 I 0.1872 0.7308 0.5785
12 I 0.2692 0.4215 0.8128
13 I 0.3455 0.1109 0.0306
14 I 0.4215 0.8128 0.2692
15 I 0.5785 0.1872 0.7308
16 I 0.6545 0.8891 0.9694
17 I 0.7308 0.5785 0.1872
18 I 0.8128 0.2692 0.4215
19 I 0.8891 0.9694 0.6545
20 I 0.9694 0.6545 0.8891